No. 1
CeYGaSn | Alexandria via LeMat-Bulk | PBE-GGA | relaxed; space group = F-43m, No. 216; M_tot = 0.26 μB/atom; final energy = -86.2 eV per cell
1.0
7.462 0.000 0.000
0.000 7.462 0.000
0.000 0.000 7.462
Ce Y Ga Sn
4 4 4 4
direct
0.000 0.000 0.000 Ce
0.000 0.500 0.500 Ce
0.500 0.000 0.500 Ce
0.500 0.500 0.000 Ce
0.000 0.000 0.500 Y
0.000 0.500 0.000 Y
0.500 0.000 0.000 Y
0.500 0.500 0.500 Y
0.250 0.250 0.250 Ga
0.250 0.750 0.750 Ga
0.750 0.250 0.750 Ga
0.750 0.750 0.250 Ga
0.250 0.250 0.750 Sn
0.250 0.750 0.250 Sn
0.750 0.250 0.250 Sn
0.750 0.750 0.750 Sn

No. 2
SrZr2Ru | Alexandria via LeMat-Bulk | PBE-GGA | relaxed; energy relative to the lowest polymorph listed for this composition = 452.1 meV per atom; space group = Pmmm, No. 47; M_tot = 0.00 μB/atom; final energy = -26.0 eV per cell
1.0
3.527 0.000 0.000
0.000 4.984 0.000
0.000 0.000 5.082
Sr Zr Ru
1 2 1
direct
0.000 0.000 0.000 Sr
0.000 0.500 0.500 Zr
0.500 0.500 0.000 Zr
0.500 0.000 0.500 Ru

No. 3
ZrZnAgPt | Alexandria via LeMat-Bulk | PBE-GGA | relaxed; space group = F-43m, No. 216; M_tot = 0.00 μB/atom; final energy = -82.4 eV per cell
1.0
6.537 0.000 0.000
0.000 6.537 0.000
0.000 0.000 6.537
Zr Zn Ag Pt
4 4 4 4
direct
0.000 0.000 0.000 Zr
0.000 0.500 0.500 Zr
0.500 0.000 0.500 Zr
0.500 0.500 0.000 Zr
0.000 0.000 0.500 Zn
0.000 0.500 0.000 Zn
0.500 0.000 0.000 Zn
0.500 0.500 0.500 Zn
0.250 0.250 0.750 Ag
0.250 0.750 0.250 Ag
0.750 0.250 0.250 Ag
0.750 0.750 0.750 Ag
0.250 0.250 0.250 Pt
0.250 0.750 0.750 Pt
0.750 0.250 0.750 Pt
0.750 0.750 0.250 Pt

No. 4
Tb2Zn2Cu15 | Alexandria via LeMat-Bulk | PBE-GGA | relaxed; space group = R-3m, No. 166; M_tot = 0.00 μB/atom; final energy = -76.0 eV per cell
1.0
4.296 2.480 4.207
-4.296 2.480 4.207
0.000 -4.960 4.207
Tb Zn Cu
2 2 15
direct
0.153 0.153 0.153 Tb
0.847 0.847 0.847 Tb
0.398 0.398 0.398 Zn
0.602 0.602 0.602 Zn
0.000 0.500 0.500 Cu
0.153 0.153 0.655 Cu
0.153 0.655 0.153 Cu
0.201 0.500 0.799 Cu
0.201 0.799 0.500 Cu
0.345 0.847 0.847 Cu
0.500 0.000 0.500 Cu
0.500 0.201 0.799 Cu
0.500 0.500 0.000 Cu
0.500 0.799 0.201 Cu
0.655 0.153 0.153 Cu
0.799 0.201 0.500 Cu
0.799 0.500 0.201 Cu
0.847 0.345 0.847 Cu
0.847 0.847 0.345 Cu

No. 5
CaCoH3 | Alexandria via LeMat-Bulk | PBE-GGA | relaxed; space group = Fd-3m, No. 227; M_tot = 0.00 μB/atom; final energy = -78.8 eV per cell
1.0
0.000 4.525 4.525
4.525 0.000 4.525
4.525 4.525 0.000
Ca Co H
4 4 12
direct
0.000 0.000 0.000 Ca
0.000 0.000 0.500 Ca
0.000 0.500 0.000 Ca
0.500 0.000 0.000 Ca
0.000 0.500 0.500 Co
0.500 0.000 0.500 Co
0.500 0.500 0.000 Co
0.500 0.500 0.500 Co
0.190 0.190 0.560 H
0.190 0.560 0.190 H
0.190 0.560 0.560 H
0.440 0.440 0.810 H
0.440 0.810 0.440 H
0.440 0.810 0.810 H
0.560 0.190 0.190 H
0.560 0.190 0.560 H
0.560 0.560 0.190 H
0.810 0.440 0.440 H
0.810 0.440 0.810 H
0.810 0.810 0.440 H

No. 6
CrCoN2 | Alexandria via LeMat-Bulk | PBE-GGA | relaxed; energy relative to the lowest polymorph listed for this composition = 171.8 meV per atom; uncorrected formation energy = -0.057 eV/atom; space group = Amm2, No. 38; M_tot = 0.07 μB/atom; final energy = -67.2 eV per cell
1.0
3.759 0.000 0.000
0.000 3.680 0.000
0.000 0.000 5.119
Cr Co N
2 2 4
direct
0.000 0.000 0.000 Cr
0.000 0.500 0.500 Cr
0.500 0.000 0.485 Co
0.500 0.500 0.985 Co
0.000 0.000 0.640 N
0.000 0.500 0.140 N
0.500 0.000 0.103 N
0.500 0.500 0.603 N

No. 7
V2HgBAu | Alexandria via LeMat-Bulk | PBE-GGA | relaxed; space group = P4/mmm, No. 123; M_tot = 1.26 μB/atom; final energy = -20.7 eV per cell
1.0
5.188 0.000 0.000
0.000 5.188 0.000
0.000 0.000 3.981
V Hg B Au
2 1 1 1
direct
0.000 0.500 0.000 V
0.500 0.000 0.000 V
0.000 0.000 0.000 Hg
0.000 0.000 0.500 B
0.500 0.500 0.500 Au

No. 8
Rb3Tl2H3Au2 | Alexandria via LeMat-Bulk | PBE-GGA | relaxed; space group = I4/mmm, No. 139; M_tot = 0.00 μB/atom; final energy = -24.4 eV per cell
1.0
-2.358 2.358 12.783
2.358 -2.358 12.783
2.358 2.358 -12.783
Rb Tl H Au
3 2 3 2
direct
0.000 0.000 0.000 Rb
0.380 0.380 0.000 Rb
0.620 0.620 0.000 Rb
0.188 0.188 0.000 Tl
0.812 0.812 0.000 Tl
0.108 0.108 0.000 H
0.500 0.500 0.000 H
0.892 0.892 0.000 H
0.250 0.750 0.500 Au
0.750 0.250 0.500 Au

No. 9
MgScSi2Ru | Alexandria via LeMat-Bulk | PBE-GGA | relaxed; uncorrected formation energy = 0.052 eV/atom; space group = P4/mmm, No. 123; M_tot = 0.00 μB/atom; final energy = -27.8 eV per cell
1.0
4.641 0.000 0.000
0.000 4.641 0.000
0.000 0.000 4.940
Mg Sc Si Ru
1 1 2 1
direct
0.000 0.000 0.000 Mg
0.500 0.500 0.000 Sc
0.000 0.500 0.500 Si
0.500 0.000 0.500 Si
0.500 0.500 0.500 Ru

No. 10
UCuGe2O8 | Alexandria via LeMat-Bulk | PBE-GGA | relaxed; uncorrected formation energy = -1.721 eV/atom; space group = I-4m2, No. 119; M_tot = 0.08 μB/atom; final energy = -84.9 eV per cell
1.0
-3.370 3.370 3.270
3.370 -3.370 3.270
3.370 3.370 -3.270
U Cu Ge O
1 1 2 8
direct
0.000 0.000 0.000 U
0.750 0.250 0.500 Cu
0.250 0.750 0.500 Ge
0.500 0.500 0.000 Ge
0.078 0.379 0.301 O
0.078 0.778 0.699 O
0.117 0.308 0.809 O
0.222 0.922 0.301 O
0.499 0.308 0.191 O
0.621 0.922 0.699 O
0.692 0.501 0.809 O
0.692 0.883 0.191 O

No. 11
NdHo12Er6 | Alexandria via LeMat-Bulk | PBE-GGA | relaxed; energy relative to the lowest polymorph listed for this composition = 280.8 meV per atom; space group = R-3m, No. 166; M_tot = 0.00 μB/atom; final energy = -78.7 eV per cell
1.0
7.460 4.307 3.337
-7.460 4.307 3.337
0.000 -8.614 3.337
Nd Ho Er
1 12 6
direct
0.000 0.000 0.000 Nd
0.111 0.500 0.889 Ho
0.111 0.889 0.500 Ho
0.147 0.366 0.366 Ho
0.366 0.147 0.366 Ho
0.366 0.366 0.147 Ho
0.500 0.111 0.889 Ho
0.500 0.889 0.111 Ho
0.634 0.634 0.853 Ho
0.634 0.853 0.634 Ho
0.853 0.634 0.634 Ho
0.889 0.111 0.500 Ho
0.889 0.500 0.111 Ho
0.266 0.687 0.687 Er
0.313 0.313 0.734 Er
0.313 0.734 0.313 Er
0.687 0.266 0.687 Er
0.687 0.687 0.266 Er
0.734 0.313 0.313 Er

No. 12
Th2Al3Pt9 | Alexandria via LeMat-Bulk | PBE-GGA | relaxed; space group = C2/c, No. 15; M_tot = 0.00 μB/atom; final energy = -191.4 eV per cell
1.0
6.699 -3.863 0.000
6.699 3.863 0.000
-4.572 0.000 9.515
Th Al Pt
4 6 18
direct
0.083 0.255 0.250 Th
0.255 0.083 0.750 Th
0.745 0.917 0.250 Th
0.917 0.745 0.750 Th
0.000 0.500 0.000 Al
0.150 0.676 0.500 Al
0.324 0.850 0.000 Al
0.500 0.000 0.500 Al
0.676 0.150 0.000 Al
0.850 0.324 0.500 Al
0.028 0.852 0.071 Pt
0.148 0.972 0.429 Pt
0.198 0.357 0.570 Pt
0.199 0.586 0.252 Pt
0.312 0.476 0.926 Pt
0.357 0.198 0.070 Pt
0.365 0.635 0.750 Pt
0.414 0.801 0.248 Pt
0.476 0.312 0.426 Pt
0.524 0.688 0.574 Pt
0.586 0.199 0.752 Pt
0.635 0.365 0.250 Pt
0.643 0.802 0.930 Pt
0.688 0.524 0.074 Pt
0.801 0.414 0.748 Pt
0.802 0.643 0.430 Pt
0.852 0.028 0.571 Pt
0.972 0.148 0.929 Pt